A geometry-optimized GaTePtO6 structure, computed with PBE.

a = 5.1700 Å, b = 5.1700 Å, c = 8.8689 Å
α = 90.00°, β = 90.00°, γ = 120.00°
Space group P-31c (No. 163)
One atom of each set of equivalent atoms:
Ga  0.3333  0.6667  0.2500 [2 per cell]
Te  0.3333  0.6667  0.7500 [2 per cell]
Pt  0.0000  0.0000  0.0000 [2 per cell]
O  0.0025  0.3484  0.6300 [12 per cell]

Results
Fermi-level density of states (states/eV/atom): 0.44
M_tot (μB/atom): 0.000
Energy relative to the elements, uncorrected (eV per atom): -0.904